1.
{
  "formula": "FeSiPt2",
  "functional": "PBE",
  "state": "optimized geometry",
  "e_tot_ev_per_atom": -6.74,
  "e_form_raw_mev_per_atom": -250,
  "lattice": [[4.3561, -1.4286, 0.0000], [4.3561, 1.4286, 0.0000], [-1.2528, 0.0000, 4.6092]],
  "species": ["Fe", "Si", "Pt", "Pt"],
  "fractional_positions": [[0.0000, 0.0000, 0.0000], [0.5000, 0.5000, 0.5000], [0.2307, 0.2307, 0.7431], [0.7693, 0.7693, 0.2569]]
}

2.
{
  "formula": "FeSiPt2",
  "functional": "PBE",
  "state": "optimized geometry",
  "e_tot_ev_per_atom": -6.86,
  "e_form_raw_mev_per_atom": -368,
  "lattice": [[-1.3890, 2.1899, 4.6180], [1.3890, -2.1899, 4.6180], [1.3890, 2.1899, -4.6180]],
  "species": ["Fe", "Si", "Pt", "Pt"],
  "fractional_positions": [[0.0000, 0.0000, 0.0000], [0.7882, 0.2882, 0.5000], [0.2807, 0.7807, 0.5000], [0.5718, 0.5718, 0.0000]]
}

In order of appearance, mass density = 13.72, 14.01 g/cm3.